Record 1
The following is a PBE-GGA calculation of a relaxed structure of Er2NpAg2S6, from the Alexandria database.

Unit cell a=6.947 b=6.947 c=6.523 alpha=94.51 beta=94.51 gamma=120.50
Last column: magnetic moment on the atom in μB.
Atoms (fractional coordinates):
S 0.969 0.634 0.278  -0.04
S 0.706 0.706 0.725  -0.04
S 0.634 0.969 0.278  -0.04
S 0.366 0.031 0.722  -0.04
S 0.031 0.366 0.722  -0.04
S 0.294 0.294 0.275  -0.04
Ag 0.876 0.124 0.000  -0.01
Ag 0.124 0.876 0.000  -0.01
Er 0.335 0.665 0.500  0.01
Er 0.665 0.335 0.500  0.01
Np 0.000 0.000 0.500  3.23

Properties
space group	No. 12
energy relative to the elements, uncorrected	-1283	meV/atom
crystal system	monoclinic

---

Record 2
The following is a PBE-GGA calculation of a relaxed structure of Ti6TlGa, from the Alexandria database.

Unit cell a=4.741 b=5.819 c=5.819 alpha=119.98 beta=90.00 gamma=90.00
Atoms (fractional coordinates):
Ti 0.500 0.411 0.081
Ti 0.500 0.919 0.081
Ti 0.000 0.078 0.414
Ti 0.000 0.586 0.414
Ti 0.000 0.586 0.922
Ti 0.500 0.919 0.589
Ga 0.000 0.083 0.917
Tl 0.500 0.417 0.583

Properties
offset from the most stable computed form	10	meV/atom
space group	No. 187
crystal system	hexagonal

---

| no. | M_tot (μB per formula unit) | DOS at the Fermi energy (states/eV/cell) | ρ (g/cm³) |
| --- | --- | --- | --- |
| 1 | 3.00 | 9.80 | 6.07 |
| 2 | 0.00 | 7.27 | 6.70 |